(i)
La12Nd5Y2 | Alexandria via LeMat-Bulk | PBE | optimized geometry; M_tot = 0.0 μB per formula unit; D(E_F) = 33.06 states/eV per cell; space-group type = C2/m, No. 12
1.0
-6.9189 3.0088 -1.2706
0.6073 -10.2773 -4.6084
-4.3576 -8.1513 4.4264
Nd La Y
5 12 2
direct
0.8255 0.6510 0.1841
0.0000 0.0000 0.5000
0.3221 0.6442 0.1587
0.1745 0.3490 0.8159
0.6779 0.3558 0.8413
0.0670 0.6663 0.8359
0.5992 0.6663 0.8359
0.5112 0.0224 0.3175
0.9937 0.9874 0.7975
0.9330 0.3337 0.1641
0.0913 0.6833 0.4690
0.4008 0.3337 0.1641
0.0063 0.0126 0.2025
0.5921 0.6833 0.4690
0.4079 0.3167 0.5310
0.9087 0.3167 0.5310
0.4888 0.9776 0.6825
0.7009 0.0000 0.0000
0.2991 0.0000 0.0000



(ii)
La12Nd5Y2 | Alexandria via LeMat-Bulk | PBE | optimized geometry; M_tot = 0.0 μB per formula unit; D(E_F) = 29.21 states/eV per cell; space-group type = P-1, No. 2
1.0
5.9865 -1.4118 1.9502
-0.2361 8.6710 4.3843
0.8462 -2.0347 12.6222
Nd La Y
5 12 2
direct
0.7056 0.7884 0.7769
0.2489 0.6904 0.6943
0.7511 0.3096 0.3057
0.5000 0.0000 0.0000
0.2944 0.2116 0.2231
0.7584 0.5501 0.5969
0.8873 0.0517 0.1373
0.6435 0.6633 0.1102
0.7913 0.4078 0.9711
0.7881 0.9387 0.4531
0.2119 0.0613 0.5469
0.2416 0.4499 0.4031
0.1127 0.9483 0.8627
0.2087 0.5922 0.0289
0.6629 0.1739 0.6285
0.3371 0.8261 0.3715
0.3565 0.3367 0.8898
0.9256 0.6910 0.2837
0.0744 0.3090 0.7163



Winner for stability: (ii)



(i)
La8Nd6Y | Alexandria via LeMat-Bulk | PBE | optimized geometry; M_tot = 0.0 μB per formula unit; D(E_F) = 23.90 states/eV per cell; space-group type = P-3, No. 147
1.0
-3.6897 5.3884 1.8282
-3.4572 -4.9178 7.5172
8.0494 5.1937 0.9375
La Nd Y
8 6 1
direct
0.1624 0.2896 0.2561
0.8376 0.0335 0.2896
0.8870 0.3333 0.6667
0.1130 0.6667 0.3333
0.8376 0.7104 0.7439
0.8376 0.2561 0.9665
0.1624 0.7439 0.0335
0.1624 0.9665 0.7104
0.6509 0.4284 0.3403
0.3491 0.5716 0.6597
0.6509 0.6597 0.0881
0.3491 0.0881 0.4284
0.6509 0.9119 0.5716
0.3491 0.3403 0.9119
0.5000 0.0000 0.0000



(ii)
La8Nd6Y | Alexandria via LeMat-Bulk | PBE | optimized geometry; M_tot = 0.0 μB per formula unit; D(E_F) = 25.67 states/eV per cell; space-group type = R-3, No. 148
1.0
-7.3446 5.1235 4.6413
-8.8399 1.4541 -4.6342
-7.5208 -3.0411 2.4155
Nd La Y
6 8 1
direct
0.0831 0.2833 0.0252
0.7167 0.3917 0.9748
0.2833 0.6083 0.0252
0.3917 0.9169 0.9748
0.9169 0.7167 0.9748
0.6083 0.0831 0.0252
0.2248 0.9315 0.4905
0.3532 0.2248 0.4905
0.0685 0.6468 0.5095
0.7752 0.0685 0.5095
0.5859 0.5859 0.2422
0.9315 0.3532 0.4905
0.4141 0.4141 0.7578
0.6468 0.7752 0.5095
0.0000 0.0000 0.0000



Winner for stability: (ii)



(i)
LaNd12Y7 | Alexandria via LeMat-Bulk | PBE | optimized geometry; M_tot = 0.0 μB per formula unit; D(E_F) = 37.14 states/eV per cell; space-group type = R-3, No. 148
1.0
-4.7605 4.1833 7.0966
6.7076 -5.5581 3.8264
4.3360 6.7995 -5.0489
Nd Y La
12 7 1
direct
0.2204 0.6717 0.3798
0.2994 0.4091 0.0541
0.6717 0.3798 0.2204
0.3283 0.6202 0.7796
0.3798 0.2204 0.6717
0.0541 0.2994 0.4091
0.5909 0.9459 0.7006
0.9459 0.7006 0.5909
0.6202 0.7796 0.3283
0.4091 0.0541 0.2994
0.7796 0.3283 0.6202
0.7006 0.5909 0.9459
0.0076 0.8920 0.3203
0.5000 0.5000 0.5000
0.6797 0.9924 0.1080
0.8920 0.3203 0.0076
0.1080 0.6797 0.9924
0.3203 0.0076 0.8920
0.9924 0.1080 0.6797
0.0000 0.0000 0.0000



(ii)
LaNd12Y7 | Alexandria via LeMat-Bulk | PBE | optimized geometry; M_tot = 0.0 μB per formula unit; D(E_F) = 30.91 states/eV per cell; space-group type = Im-3, No. 204
1.0
-2.8210 3.1147 9.1454
-7.4025 1.7817 -6.5822
1.9456 -9.8711 0.2699
Y Nd La
7 12 1
direct
0.5000 0.0000 0.0000
0.0000 0.0000 0.5000
0.5000 0.5000 0.0000
0.5000 0.5000 0.5000
0.5000 0.0000 0.5000
0.0000 0.5000 0.0000
0.0000 0.5000 0.5000
0.4929 0.7457 0.7472
0.7472 0.4929 0.7457
0.7457 0.7472 0.4929
0.7457 0.2528 0.9985
0.2528 0.9985 0.7457
0.7472 0.0015 0.2543
0.2543 0.7472 0.0015
0.0015 0.2543 0.7472
0.5071 0.2543 0.2528
0.2528 0.5071 0.2543
0.2543 0.2528 0.5071
0.9985 0.7457 0.2528
0.0000 0.0000 0.0000



Winner for stability: (i)



(i)
La2Nd3Y2 | Alexandria via LeMat-Bulk | PBE | optimized geometry; M_tot = 0.0 μB per formula unit; D(E_F) = 10.04 states/eV per cell; space-group type = C2/m, No. 12
1.0
3.4133 -0.1704 1.3611
0.6265 11.0030 -0.2043
2.8706 -0.6303 7.6347
Nd La Y
3 2 2
direct
0.5721 0.5703 0.2847
0.0000 0.0000 0.0000
0.4279 0.4297 0.7153
0.8540 0.8557 0.4309
0.1460 0.1443 0.5691
0.7113 0.7119 0.8593
0.2887 0.2881 0.1407



(ii)
La2Nd3Y2 | Alexandria via LeMat-Bulk | PBE | optimized geometry; M_tot = 0.0 μB per formula unit; D(E_F) = 11.88 states/eV per cell; space-group type = C2/m, No. 12
1.0
-2.5059 -2.3958 -0.9011
5.4639 -6.4945 2.0728
-4.1935 4.4990 6.8203
Nd Y La
3 2 2
direct
0.0000 0.5000 0.0000
0.7870 0.2041 0.5740
0.2130 0.7959 0.4260
0.1501 0.3389 0.3002
0.8499 0.6611 0.6998
0.5648 0.9123 0.1296
0.4352 0.0877 0.8704



Winner for stability: (i)



(i)
LaNdY5 | Alexandria via LeMat-Bulk | PBE | optimized geometry; M_tot = 0.0 μB per formula unit; D(E_F) = 20.51 states/eV per cell; space-group type = C2/c, No. 15
1.0
0.7825 -6.6125 -1.6198
3.8794 -1.7254 -5.3790
12.3853 -6.0486 2.3399
Y Nd La
10 2 2
direct
0.3052 0.3544 0.4987
0.3544 0.3052 0.9987
0.6948 0.6456 0.5013
0.8288 0.6088 0.7513
0.1600 0.8400 0.2500
0.6088 0.8288 0.2513
0.3912 0.1712 0.7487
0.8400 0.1600 0.7500
0.1712 0.3912 0.2487
0.6456 0.6948 0.0013
0.0000 0.0000 0.0000
0.0000 0.0000 0.5000
0.2746 0.7254 0.7500
0.7254 0.2746 0.2500



(ii)
LaNdY5 | Alexandria via LeMat-Bulk | PBE | optimized geometry; M_tot = 0.0 μB per formula unit; D(E_F) = 22.42 states/eV per cell; space-group type = C2/c, No. 15
1.0
0.1404 -4.9444 -4.4034
6.3488 -0.5886 1.7898
-5.9307 -4.4178 9.0524
Y La Nd
10 2 2
direct
0.9298 0.2304 0.4642
0.5513 0.1921 0.1628
0.7304 0.4298 0.9642
0.2696 0.5702 0.0358
0.9096 0.5904 0.7500
0.6921 0.0513 0.6628
0.4487 0.8079 0.8372
0.0702 0.7696 0.5358
0.3079 0.9487 0.3372
0.0904 0.4096 0.2500
0.2583 0.2417 0.7500
0.7417 0.7583 0.2500
0.5000 0.5000 0.5000
0.0000 0.0000 0.0000



Winner for stability: (ii)



(i)
La2Nd3Y5 | Alexandria via LeMat-Bulk | PBE | optimized geometry; M_tot = 0.0 μB per formula unit; D(E_F) = 29.68 states/eV per cell; space-group type = C2/c, No. 15
1.0
8.3079 1.4123 -3.8029
0.1078 8.3944 -3.8749
-1.4398 -1.5773 11.1213
Nd La Y
6 4 10
direct
0.7735 0.0235 0.0470
0.2722 0.5206 0.7487
0.2265 0.9765 0.9530
0.7278 0.4794 0.2513
0.9765 0.2281 0.7487
0.0235 0.7719 0.2513
0.4775 0.7265 0.7469
0.2306 0.9796 0.2531
0.5225 0.2735 0.2531
0.7694 0.0204 0.7469
0.7250 0.4750 0.9501
0.2750 0.5250 0.0499
0.9729 0.2229 0.4458
0.8732 0.6162 0.7385
0.6347 0.8777 0.2615
0.0271 0.7771 0.5542
0.1268 0.3838 0.2615
0.5278 0.2778 0.5557
0.4722 0.7222 0.4443
0.3653 0.1223 0.7385



(ii)
La2Nd3Y5 | Alexandria via LeMat-Bulk | PBE | optimized geometry; M_tot = 0.0 μB per formula unit; D(E_F) = 31.98 states/eV per cell; space-group type = Ibam, No. 72
1.0
6.5234 0.0000 0.0000
3.2617 10.3328 -2.6352
3.2617 -1.0099 10.6157
Y La Nd
10 4 6
direct
0.9041 0.9294 0.2624
0.5024 0.7476 0.7476
0.4976 0.2524 0.2524
0.0959 0.0706 0.7376
0.0024 0.7476 0.7476
0.5959 0.7376 0.0706
0.7500 0.5000 0.5000
0.4041 0.2624 0.9294
0.9976 0.2524 0.2524
0.2500 0.5000 0.5000
0.9154 0.4145 0.7547
0.0846 0.5855 0.2453
0.5846 0.2453 0.5855
0.4154 0.7547 0.4145
0.7500 0.0000 0.0000
0.7636 0.4026 0.0702
0.2500 0.0000 0.0000
0.7364 0.9298 0.5974
0.2636 0.0702 0.4026
0.2364 0.5974 0.9298



Winner for stability: (i)



(i)
La4Nd7Y | Alexandria via LeMat-Bulk | PBE | optimized geometry; M_tot = 0.0 μB per formula unit; D(E_F) = 21.25 states/eV per cell; space-group type = C2/m, No. 12
1.0
6.1691 0.0000 0.0000
3.0845 11.6594 -0.3847
3.0845 0.1349 6.1432
La Y Nd
4 1 7
direct
0.2275 0.3302 0.2147
0.3597 0.7785 0.5021
0.6403 0.2215 0.4979
0.7725 0.6698 0.7853
0.0000 0.0000 0.0000
0.3677 0.4977 0.7670
0.2138 0.0774 0.4950
0.5000 0.0000 0.0000
0.0669 0.6862 0.1801
0.6323 0.5023 0.2330
0.9331 0.3138 0.8199
0.7862 0.9226 0.5050



(ii)
La4Nd7Y | Alexandria via LeMat-Bulk | PBE | optimized geometry; M_tot = 0.0 μB per formula unit; D(E_F) = 16.68 states/eV per cell; space-group type = P-1, No. 2
1.0
0.5458 3.7144 6.4147
-3.5770 -4.4956 2.9039
6.7858 -2.3960 9.4311
Nd Y La
7 1 4
direct
0.7524 0.4993 0.9992
0.5000 0.0000 0.0000
0.6698 0.2223 0.3299
0.9195 0.7249 0.3279
0.3302 0.7777 0.6701
0.0805 0.2751 0.6721
0.2476 0.5007 0.0008
0.0000 0.0000 0.0000
0.8309 0.7761 0.6687
0.5793 0.2783 0.6696
0.1691 0.2239 0.3313
0.4207 0.7217 0.3304



Winner for stability: (ii)



(i)
LaNd2Y2 | Alexandria via LeMat-Bulk | PBE | optimized geometry; M_tot = 0.0 μB per formula unit; D(E_F) = 16.36 states/eV per cell; space-group type = C2/c, No. 15
1.0
8.2909 2.0120 -2.6328
-3.0912 5.6833 -0.4691
0.4186 0.2960 6.4662
Nd Y La
4 4 2
direct
0.0000 0.5000 0.5000
0.5000 0.5000 0.5000
0.0000 0.0000 0.5000
0.5000 0.5000 0.0000
0.6332 0.0573 0.2531
0.8668 0.7469 0.9427
0.1332 0.2531 0.0573
0.3668 0.9427 0.7469
0.2500 0.8017 0.1983
0.7500 0.1983 0.8017



(ii)
LaNd2Y2 | Alexandria via LeMat-Bulk | PBE | optimized geometry; M_tot = 0.0 μB per formula unit; D(E_F) = 7.99 states/eV per cell; space-group type = I4/mmm, No. 139
1.0
-0.5968 -5.9958 -0.8978
1.6438 0.7082 -5.8228
4.1861 1.9879 4.6100
Nd Y La
2 2 1
direct
0.7502 0.2502 0.5003
0.2498 0.7498 0.4997
0.6497 0.6497 0.2994
0.3503 0.3503 0.7006
0.0000 0.0000 0.0000



Winner for stability: (i)



(i)
La2Nd4Y5 | Alexandria via LeMat-Bulk | PBE | optimized geometry; M_tot = 0.0 μB per formula unit; D(E_F) = 18.93 states/eV per cell; space-group type = C2/m, No. 12
1.0
3.5640 0.0000 0.0000
0.0000 8.5987 -1.9250
-1.7820 -5.0548 13.6588
Y Nd La
5 4 2
direct
0.8147 0.0998 0.6294
0.5000 0.0000 0.0000
0.1298 0.2112 0.2595
0.1853 0.9002 0.3706
0.8702 0.7888 0.7405
0.4125 0.5218 0.8249
0.0414 0.7403 0.0829
0.5875 0.4782 0.1751
0.9586 0.2597 0.9171
0.7269 0.6291 0.4538
0.2731 0.3709 0.5462



(ii)
La2Nd4Y5 | Alexandria via LeMat-Bulk | PBE | optimized geometry; M_tot = 0.0 μB per formula unit; D(E_F) = 19.96 states/eV per cell; space-group type = C2/m, No. 12
1.0
-4.2818 2.3665 3.2304
-4.0956 -0.4779 -5.0785
-0.2587 -10.1953 1.8061
Nd Y La
4 5 2
direct
0.0301 0.2650 0.0602
0.9699 0.7350 0.9398
0.3047 0.9261 0.6094
0.6953 0.0739 0.3906
0.1331 0.8732 0.2662
0.7872 0.6056 0.5745
0.5000 0.0000 0.0000
0.8669 0.1268 0.7338
0.2128 0.3944 0.4255
0.4034 0.4589 0.8067
0.5966 0.5411 0.1933



Winner for stability: (ii)